#a
The following is a DFT calculation (GGA-PBEsol) of a relaxed ZrRhCl2 crystal.

The structure in extended XYZ format:
```
4
Lattice="1.567 0.905 8.183 -1.567 0.905 8.183 0.000 -1.809 8.183" Properties=species:S:1:pos:R:3 pbc="T T T"
Zr 0.000 0.000 0.000
Rh 0.000 0.000 12.274
Cl 0.000 0.000 10.013
Cl 0.000 0.000 14.536
```

The symmetry is No. 166. As for the mass density: 6.3 g cm⁻³.

---

#b
The following is a DFT calculation (GGA-PBEsol) of a relaxed ZrRhCl2 crystal.

The structure in extended XYZ format:
```
4
Lattice="4.157 0.000 0.000 0.000 4.157 0.000 0.000 0.000 3.663" Properties=species:S:1:pos:R:3 pbc="T T T"
Zr 0.000 0.000 0.000
Rh 2.078 2.078 0.000
Cl 0.000 2.078 1.832
Cl 2.078 0.000 1.832
```

The symmetry is No. 123. As for the mass density: 7.0 g cm⁻³.

---

Energy relative to the most stable one, in meV per atom: #a 0; #b 319

---

#a
The following is a DFT calculation (GGA-PBEsol) of a relaxed RuCl crystal.

The structure in extended XYZ format:
```
4
Lattice="2.928 0.000 0.000 -1.464 2.536 0.000 0.000 0.000 8.082" Properties=species:S:1:pos:R:3 pbc="T T T"
Ru 0.000 1.691 0.000
Ru 1.464 0.845 4.041
Cl 0.000 1.691 2.204
Cl 1.464 0.845 6.245
```

The symmetry is No. 186. As for the mass density: 7.6 g cm⁻³.

---

#b
The following is a DFT calculation (GGA-PBEsol) of a relaxed RuCl crystal.

The structure in extended XYZ format:
```
4
Lattice="0.000 3.091 3.091 3.091 0.000 3.091 3.091 3.091 0.000" Properties=species:S:1:pos:R:3 pbc="T T T"
Ru 0.773 0.773 0.773
Ru 5.409 5.409 5.409
Cl 2.318 2.318 2.318
Cl 3.864 3.864 3.864
```

The symmetry is No. 227. As for the mass density: 7.7 g cm⁻³.

---

Energy relative to the most stable one, in meV per atom: #a 0; #b 421

---

#a
The following is a DFT calculation (GGA-PBEsol) of a relaxed SbRu2Cl crystal.

The structure in extended XYZ format:
```
4
Lattice="2.997 0.000 0.000 0.000 3.810 0.000 0.000 0.000 5.629" Properties=species:S:1:pos:R:3 pbc="T T T"
Sb 0.000 0.000 0.000
Ru 0.000 0.000 2.797
Ru 1.499 1.905 4.471
Cl 1.499 1.905 2.217
```

The symmetry is No. 25. As for the mass density: 9.3 g cm⁻³.

---

#b
The following is a DFT calculation (GGA-PBEsol) of a relaxed SbRu2Cl crystal.

The structure in extended XYZ format:
```
4
Lattice="1.540 0.889 7.803 -1.540 0.889 7.803 0.000 -1.778 7.803" Properties=species:S:1:pos:R:3 pbc="T T T"
Sb 0.000 0.000 0.000
Ru 0.000 0.000 5.863
Ru 0.000 0.000 17.545
Cl 0.000 0.000 11.704
```

The symmetry is No. 166. As for the mass density: 9.3 g cm⁻³.

---

Energy relative to the most stable one, in meV per atom: #a 0; #b 37

---

#a
The following is a DFT calculation (GGA-PBEsol) of a relaxed ScRuCl2 crystal.

The structure in extended XYZ format:
```
4
Lattice="1.552 0.896 8.957 -1.552 0.896 8.957 0.000 -1.792 8.957" Properties=species:S:1:pos:R:3 pbc="T T T"
Sc 0.000 0.000 0.000
Ru 0.000 0.000 13.436
Cl 0.000 0.000 7.222
Cl 0.000 0.000 19.651
```

The symmetry is No. 166. As for the mass density: 4.8 g cm⁻³.

---

#b
The following is a DFT calculation (GGA-PBEsol) of a relaxed ScRuCl2 crystal.

The structure in extended XYZ format:
```
4
Lattice="2.977 0.000 0.000 0.000 2.977 0.000 0.000 0.000 9.099" Properties=species:S:1:pos:R:3 pbc="T T T"
Sc 0.000 0.000 0.000
Ru 0.000 0.000 4.549
Cl 1.488 1.488 1.538
Cl 1.488 1.488 7.560
```

The symmetry is No. 123. As for the mass density: 4.5 g cm⁻³.

---

Energy relative to the most stable one, in meV per atom: #a 0; #b 106

---

#a
The following is a DFT calculation (GGA-PBEsol) of a relaxed ScRuCl2 crystal.

The structure in extended XYZ format:
```
4
Lattice="3.811 0.000 0.000 0.000 3.339 0.000 -0.633 0.000 6.474" Properties=species:S:1:pos:R:3 pbc="T T T"
Sc 0.000 0.000 0.000
Ru 1.188 1.670 5.629
Cl 0.503 0.000 4.001
Cl 2.493 1.670 1.445
```

The symmetry is No. 6. As for the mass density: 4.4 g cm⁻³.

---

#b
The following is a DFT calculation (GGA-PBEsol) of a relaxed ScRuCl2 crystal.

The structure in extended XYZ format:
```
4
Lattice="3.050 0.000 0.000 0.000 4.040 0.000 0.000 0.000 5.303" Properties=species:S:1:pos:R:3 pbc="T T T"
Sc 0.000 0.000 0.000
Ru 1.525 0.000 2.652
Cl 0.000 2.020 2.652
Cl 1.525 2.020 0.000
```

The symmetry is No. 47. As for the mass density: 5.5 g cm⁻³.

---

Energy relative to the most stable one, in meV per atom: #a 0; #b 340

---

#a
The following is a DFT calculation (GGA-PBEsol) of a relaxed RuSe2Cl crystal.

The structure in extended XYZ format:
```
4
Lattice="1.560 0.901 9.478 -1.560 0.901 9.478 0.000 -1.801 9.478" Properties=species:S:1:pos:R:3 pbc="T T T"
Ru 0.000 0.000 0.000
Se 0.000 0.000 13.875
Se 0.000 0.000 20.543
Cl 0.000 0.000 7.708
```

The symmetry is No. 160. As for the mass density: 6.1 g cm⁻³.

---

#b
The following is a DFT calculation (GGA-PBEsol) of a relaxed RuSe2Cl crystal.

The structure in extended XYZ format:
```
8
Lattice="-3.255 3.255 4.593 3.255 -3.255 4.593 3.255 3.255 -4.593" Properties=species:S:1:pos:R:3 pbc="T T T"
Ru 0.000 0.000 0.000
Ru 0.000 3.255 2.296
Se 1.627 1.154 -1.148
Se 2.101 -1.627 5.741
Se 1.627 2.101 3.444
Se 1.154 4.882 1.148
Cl 3.255 0.000 2.296
Cl 0.000 0.000 4.593
```

The symmetry is No. 122. As for the mass density: 5.0 g cm⁻³.

---

Energy relative to the most stable one, in meV per atom: #a 8; #b 0

---

#a
The following is a DFT calculation (GGA-PBEsol) of a relaxed Sr2RuCl crystal.

The structure in extended XYZ format:
```
4
Lattice="3.783 -3.782 0.000 3.783 3.782 0.000 -0.007 0.000 3.309" Properties=species:S:1:pos:R:3 pbc="T T T"
Sr 1.892 1.891 0.000
Sr 1.892 -1.891 0.000
Ru -0.003 0.000 1.655
Cl 3.780 0.000 1.655
```

The symmetry is No. 12. As for the mass density: 5.5 g cm⁻³.

---

#b
The following is a DFT calculation (GGA-PBEsol) of a relaxed Sr2RuCl crystal.

The structure in extended XYZ format:
```
4
Lattice="-2.075 2.075 6.099 2.075 -2.075 6.099 2.075 2.075 -6.099" Properties=species:S:1:pos:R:3 pbc="T T T"
Sr 0.000 0.000 0.000
Sr 0.000 2.075 3.049
Ru 2.075 0.000 3.049
Cl 0.000 0.000 6.099
```

The symmetry is No. 119. As for the mass density: 4.9 g cm⁻³.

---

Energy relative to the most stable one, in meV per atom: #a 0; #b 328

---

#a
The following is a DFT calculation (GGA-PBEsol) of a relaxed TaRu2Cl crystal.

The structure in extended XYZ format:
```
4
Lattice="2.874 0.000 0.000 0.000 4.377 0.000 0.000 0.000 4.600" Properties=species:S:1:pos:R:3 pbc="T T T"
Ta 0.000 0.000 0.000
Ru 0.000 2.188 2.300
Ru 1.437 2.188 0.000
Cl 1.437 0.000 2.300
```

The symmetry is No. 47. As for the mass density: 12.0 g cm⁻³.

---

#b
The following is a DFT calculation (GGA-PBEsol) of a relaxed TaRu2Cl crystal.

The structure in extended XYZ format:
```
4
Lattice="1.503 0.868 8.020 -1.503 0.868 8.020 0.000 -1.736 8.020" Properties=species:S:1:pos:R:3 pbc="T T T"
Ta 0.000 0.000 0.000
Ru 0.000 0.000 6.083
Ru 0.000 0.000 17.976
Cl 0.000 0.000 12.030
```

The symmetry is No. 166. As for the mass density: 11.1 g cm⁻³.

---

#c
The following is a DFT calculation (GGA-PBEsol) of a relaxed TaRu2Cl crystal.

The structure in extended XYZ format:
```
4
Lattice="4.459 0.000 0.000 0.000 4.459 0.000 0.000 0.000 2.993" Properties=species:S:1:pos:R:3 pbc="T T T"
Ta 0.000 0.000 0.000
Ru 0.000 2.229 1.497
Ru 2.229 0.000 1.497
Cl 2.229 2.229 0.000
```

The symmetry is No. 123. As for the mass density: 11.7 g cm⁻³.

---

Energy relative to the most stable one, in meV per atom: #a 255; #b 0; #c 411